Entry 1:
A relaxed structure of Ca2TlSn2. Source: the Alexandria database, functional PBE.

Summary:
Energy of formation = -1.4 eV/f.u.

The structure in POSCAR format:
```
Ca2TlSn2
1.0
-2.114 2.114 8.895
2.114 -2.114 8.895
2.114 2.114 -8.895
Ca Tl Sn
2 1 2
Cartesian
0.000 0.000 1.835
0.000 0.000 15.956
0.000 0.000 8.895
2.114 0.000 4.448
0.000 2.114 4.448
```

=====

Entry 2:
A relaxed structure of CaTl3Sn3. Source: the Alexandria database, functional PBE.

Summary:
Offset from the most stable computed form = 0.448 eV per atom
Energy of formation = 2.2 eV/f.u.

The structure in POSCAR format:
```
CaTl3Sn3
1.0
8.219 0.000 0.000
0.000 8.219 0.000
0.000 0.000 8.219
Ca Tl Sn
2 6 6
Cartesian
0.000 0.000 0.000
4.110 4.110 4.110
0.000 2.055 4.110
0.000 6.164 4.110
2.055 4.110 0.000
4.110 0.000 2.055
4.110 0.000 6.164
6.164 4.110 0.000
0.000 4.110 2.055
0.000 4.110 6.164
2.055 0.000 4.110
4.110 2.055 0.000
4.110 6.164 0.000
6.164 0.000 4.110
```

=====

Entry 3:
A relaxed structure of Ca4TlSn12. Source: the Alexandria database, functional PBE.

Summary:
Energy of formation = -4.4 eV/f.u.

The structure in POSCAR format:
```
Ca4TlSn12
1.0
-4.982 4.982 4.982
4.982 -4.982 4.982
4.982 4.982 -4.982
Ca Tl Sn
4 1 12
Cartesian
2.491 2.491 -2.491
2.491 -2.491 2.491
-2.491 2.491 2.491
2.491 2.491 2.491
0.000 0.000 0.000
3.054 0.000 0.000
6.909 0.000 0.000
4.982 2.491 0.000
4.982 0.000 2.491
0.000 3.054 0.000
0.000 0.000 3.054
2.491 4.982 0.000
2.491 0.000 4.982
0.000 6.909 0.000
0.000 0.000 6.909
0.000 4.982 2.491
0.000 2.491 4.982
```

=====

Entry 4:
A relaxed structure of CaTlSn2. Source: the Alexandria database, functional PBE.

Summary:
Energy of formation = -0.9 eV/f.u.

The structure in POSCAR format:
```
CaTlSn2
1.0
4.058 0.000 0.000
0.000 4.058 0.000
0.000 0.000 6.968
Ca Tl Sn
1 1 2
Cartesian
0.000 0.000 0.000
0.000 0.000 3.484
2.029 2.029 1.880
2.029 2.029 5.089
```

=====

Entry 5:
A relaxed structure of Ca2TlSn9. Source: the Alexandria database, functional PBE.

Summary:
Energy of formation = -2.6 eV/f.u.

The structure in POSCAR format:
```
Ca2TlSn9
1.0
4.752 0.000 0.000
0.000 4.752 0.000
0.000 0.000 14.644
Ca Tl Sn
2 1 9
Cartesian
0.000 0.000 2.315
0.000 0.000 12.329
0.000 0.000 7.322
0.000 2.376 0.000
0.000 2.376 4.806
0.000 2.376 9.838
2.376 0.000 0.000
2.376 0.000 4.806
2.376 0.000 9.838
2.376 2.376 2.431
2.376 2.376 7.322
2.376 2.376 12.213
```

=====

Entry 6:
A relaxed structure of Ca3Tl2Sn. Source: the Alexandria database, functional PBE.

Summary:
Energy of formation = -3.0 eV/f.u.

The structure in POSCAR format:
```
Ca3Tl2Sn
1.0
2.678 -8.069 0.000
2.678 8.069 0.000
0.000 0.000 4.051
Ca Tl Sn
3 2 1
Cartesian
0.000 0.000 0.000
2.678 2.619 0.000
2.678 -2.619 0.000
2.678 5.335 2.026
2.678 -5.335 2.026
2.678 0.000 2.026
```

=====

Entry 7:
A relaxed structure of CaYTlSn. Source: the Alexandria database, functional PBE.

Summary:
Energy of formation = -1.9 eV/f.u.

The structure in POSCAR format:
```
CaYTlSn
1.0
0.000 3.828 3.828
3.828 0.000 3.828
3.828 3.828 0.000
Ca Y Tl Sn
1 1 1 1
Cartesian
0.000 0.000 0.000
3.828 3.828 3.828
5.742 5.742 5.742
1.914 1.914 1.914
```

=====

Entry 8:
A relaxed structure of CaTlZnSn. Source: the Alexandria database, functional PBE.

Summary:
Energy of formation = -0.6 eV/f.u.

The structure in POSCAR format:
```
CaTlZnSn
1.0
0.000 3.734 3.734
3.734 0.000 3.734
3.734 3.734 0.000
Ca Tl Zn Sn
1 1 1 1
Cartesian
0.000 0.000 0.000
1.867 1.867 1.867
5.602 5.602 5.602
3.734 3.734 3.734
```